# ZnIr (PBE, optimized geometry)
data_ZnIr
_space_group_name_H-M_alt 'P m c 21'
_space_group_IT_number 26
_cell_length_a 4.460
_cell_length_b 8.046
_cell_length_c 4.770
_cell_angle_alpha 90.00
_cell_angle_beta 90.00
_cell_angle_gamma 90.00
loop_
_space_group_symop_operation_xyz
'x,y,z'
'-x,-y,z+1/2'
'-x,y,z'
'x,-y,z+1/2'
loop_
_atom_site_label
_atom_site_type_symbol
_atom_site_fract_x
_atom_site_fract_y
_atom_site_fract_z
_atom_site_occupancy
Zn1 Zn 0.000 0.085 0.000 1
Zn2 Zn 0.000 0.254 0.483 1
Zn3 Zn 0.500 0.249 0.820 1
Ir1 Ir 0.000 0.416 0.980 1
Ir2 Ir 0.500 0.082 0.328 1
Ir3 Ir 0.500 0.418 0.312 1
# Energy relative to the elements (eV/atom): -0.08
# Raw total energy (eV per cell): -61.671
# Spin magnetization (μB/cell): 0.00

# ZnIr (PBE, optimized geometry)
data_ZnIr
_space_group_name_H-M_alt 'P -6 m 2'
_space_group_IT_number 187
_space_group_name_Hall 'P -6 2'
_cell_length_a 5.4608
_cell_length_b 5.4608
_cell_length_c 4.4145
_cell_angle_alpha 90.00
_cell_angle_beta 90.00
_cell_angle_gamma 120.00
loop_
_atom_site_label
_atom_site_type_symbol
_atom_site_fract_x
_atom_site_fract_y
_atom_site_fract_z
_atom_site_occupancy
Zn1 Zn 0.0000 0.0000 0.0000 1
Zn2 Zn 0.1658 0.3317 0.5000 1
Ir1 Ir 0.0026 0.5013 0.0000 1
Ir2 Ir 0.6667 0.3333 0.5000 1
# Energy relative to the elements (eV/atom): -0.08
# Raw total energy (eV per cell): -41.144
# Spin magnetization (μB/cell): 0.01

Q: raw total energy of number 2 (ZnIr)?
A: -41.144 eV per cell

Copy entry 1 word for word.
# ZnIr (PBE, optimized geometry)
data_ZnIr
_space_group_name_H-M_alt 'P m c 21'
_space_group_IT_number 26
_cell_length_a 4.460
_cell_length_b 8.046
_cell_length_c 4.770
_cell_angle_alpha 90.00
_cell_angle_beta 90.00
_cell_angle_gamma 90.00
loop_
_space_group_symop_operation_xyz
'x,y,z'
'-x,-y,z+1/2'
'-x,y,z'
'x,-y,z+1/2'
loop_
_atom_site_label
_atom_site_type_symbol
_atom_site_fract_x
_atom_site_fract_y
_atom_site_fract_z
_atom_site_occupancy
Zn1 Zn 0.000 0.085 0.000 1
Zn2 Zn 0.000 0.254 0.483 1
Zn3 Zn 0.500 0.249 0.820 1
Ir1 Ir 0.000 0.416 0.980 1
Ir2 Ir 0.500 0.082 0.328 1
Ir3 Ir 0.500 0.418 0.312 1
# Energy relative to the elements (eV/atom): -0.08
# Raw total energy (eV per cell): -61.671
# Spin magnetization (μB/cell): 0.00